(1)
# TlTe3Pd | Alexandria | PBE | relaxed
# uncorrected energy: -3.339 eV per atom
# energy relative to the elements, uncorrected: 0.06 eV per atom
# distance to the lowest polymorph of the same formula: 157.0 meV per atom
data_TlTe3Pd
_space_group_name_H-M_alt 'P 1'
_space_group_IT_number 1
_space_group_name_Hall 'P 1'
_cell_length_a 5.399
_cell_length_b 5.399
_cell_length_c 5.399
_cell_angle_alpha 90.00
_cell_angle_beta 90.00
_cell_angle_gamma 90.00
loop_
_atom_site_label
_atom_site_fract_x
_atom_site_fract_y
_atom_site_fract_z
Tl1 0.000 0.000 0.000
Te1 0.000 0.500 0.500
Te2 0.500 0.000 0.500
Te3 0.500 0.500 0.000
Pd1 0.500 0.500 0.500



(2)
# Tl4Te3Pd | Alexandria | PBE | relaxed
# uncorrected energy: -3.243 eV per atom
# energy relative to the elements, uncorrected: -0.23 eV per atom
data_Tl4Te3Pd
_space_group_name_H-M_alt 'P 1'
_space_group_IT_number 1
_space_group_name_Hall 'P 1'
_cell_length_a 9.475
_cell_length_b 9.475
_cell_length_c 9.475
_cell_angle_alpha 96.35
_cell_angle_beta 96.35
_cell_angle_gamma 141.15
loop_
_atom_site_label
_atom_site_fract_x
_atom_site_fract_y
_atom_site_fract_z
Tl1 0.091 0.777 0.868
Tl2 0.223 0.091 0.314
Tl3 0.277 0.591 0.868
Tl4 0.409 0.277 0.686
Tl5 0.591 0.723 0.314
Tl6 0.723 0.409 0.132
Tl7 0.777 0.909 0.686
Tl8 0.909 0.223 0.132
Te1 0.125 0.375 0.500
Te2 0.250 0.250 0.000
Te3 0.375 0.875 0.251
Te4 0.625 0.125 0.749
Te5 0.750 0.750 0.000
Te6 0.875 0.625 0.500
Pd1 0.250 0.750 0.500
Pd2 0.750 0.250 0.500